Entry 1:
VASP calculation (PBE) on a relaxed structure of Dy5ZnS4.

## Properties
Symmetry ... I4/m, No. 87
Energy ... -57.4 eV/cell
Formation energy from raw total energies ... -1.66 eV per atom

Cell and atoms, written as CIF:
```
data_Dy5ZnS4
_chemical_formula_sum 'Dy5 Zn1 S4'
_cell_length_a 5.586
_cell_length_b 6.845
_cell_length_c 6.845
_cell_angle_alpha 80.42
_cell_angle_beta 65.92
_cell_angle_gamma 65.92
_space_group_name_H-M_alt 'P 1'
_space_group_IT_number 1
loop_
_space_group_symop_operation_xyz
'x,y,z'
loop_
_atom_site_label
_atom_site_type_symbol
_atom_site_fract_x
_atom_site_fract_y
_atom_site_fract_z
Dy1 Dy 0.899 0.405 0.798
Dy2 Dy 0.103 0.595 0.202
Dy3 Dy 0.304 0.798 0.595
Dy4 Dy 0.698 0.202 0.405
Dy5 Dy 0.501 0.000 0.000
Zn1 Zn 0.001 0.000 0.000
S1 S 0.804 0.797 0.598
S2 S 0.401 0.402 0.797
S3 S 0.601 0.598 0.203
S4 S 0.198 0.203 0.402
```


Entry 2:
VASP calculation (PBE) on a relaxed structure of Dy4ZnS3.

## Properties
Symmetry ... I4/mmm, No. 139
Energy ... -44.6 eV/cell
Formation energy from raw total energies ... -1.57 eV per atom

Cell and atoms, written as CIF:
```
data_Dy4ZnS3
_chemical_formula_sum 'Dy4 Zn1 S3'
_cell_length_a 5.608
_cell_length_b 5.608
_cell_length_c 6.855
_cell_angle_alpha 114.14
_cell_angle_beta 114.14
_cell_angle_gamma 90.00
_space_group_name_H-M_alt 'P 1'
_space_group_IT_number 1
loop_
_space_group_symop_operation_xyz
'x,y,z'
loop_
_atom_site_label
_atom_site_type_symbol
_atom_site_fract_x
_atom_site_fract_y
_atom_site_fract_z
S1 S 0.750 0.250 0.500
Dy1 Dy 0.256 0.256 0.512
S2 S 0.250 0.750 0.500
Dy2 Dy 0.000 0.500 0.000
Dy3 Dy 0.744 0.744 0.488
Dy4 Dy 0.500 0.000 0.000
S3 S 0.500 0.500 0.000
Zn1 Zn 0.000 0.000 0.000
```


Entry 3:
VASP calculation (PBE) on a relaxed structure of Dy2ZnS.

## Properties
Symmetry ... R-3m, No. 166
Energy ... -17.2 eV/cell
Polymorph energy (0 for the lowest one) ... 513 meV per atom
Formation energy from raw total energies ... -0.66 eV per atom

Cell and atoms, written as CIF:
```
data_Dy2ZnS
_chemical_formula_sum 'Dy2 Zn1 S1'
_cell_length_a 3.692
_cell_length_b 3.692
_cell_length_c 9.497
_cell_angle_alpha 78.79
_cell_angle_beta 78.79
_cell_angle_gamma 60.00
_space_group_name_H-M_alt 'P 1'
_space_group_IT_number 1
loop_
_space_group_symop_operation_xyz
'x,y,z'
loop_
_atom_site_label
_atom_site_type_symbol
_atom_site_fract_x
_atom_site_fract_y
_atom_site_fract_z
Zn1 Zn 0.000 0.000 0.000
S1 S 0.500 0.500 0.500
Dy1 Dy 0.108 0.108 0.677
Dy2 Dy 0.892 0.892 0.323
```


Entry 4:
VASP calculation (PBE) on a relaxed structure of Dy2ZnS4.

## Properties
Symmetry ... C2/m, No. 12
Energy ... -38.1 eV/cell
Polymorph energy (0 for the lowest one) ... 110 meV per atom
Formation energy from raw total energies ... -1.59 eV per atom

Cell and atoms, written as CIF:
```
data_Dy2ZnS4
_chemical_formula_sum 'Dy2 Zn1 S4'
_cell_length_a 3.976
_cell_length_b 6.803
_cell_length_c 7.025
_cell_angle_alpha 114.90
_cell_angle_beta 106.44
_cell_angle_gamma 90.00
_space_group_name_H-M_alt 'P 1'
_space_group_IT_number 1
loop_
_space_group_symop_operation_xyz
'x,y,z'
loop_
_atom_site_label
_atom_site_type_symbol
_atom_site_fract_x
_atom_site_fract_y
_atom_site_fract_z
S1 S 0.637 0.287 0.273
S2 S 0.118 0.830 0.235
Zn1 Zn 0.000 0.000 0.000
Dy1 Dy 0.275 0.269 0.549
S3 S 0.363 0.713 0.727
S4 S 0.882 0.170 0.765
Dy2 Dy 0.725 0.731 0.451
```


Entry 5:
VASP calculation (PBE) on a relaxed structure of Dy2ZnS.

## Properties
Symmetry ... Cmcm, No. 63
Energy ... -38.6 eV/cell
Polymorph energy (0 for the lowest one) ... 0 meV per atom
Formation energy from raw total energies ... -1.17 eV per atom

Cell and atoms, written as CIF:
```
data_Dy2ZnS
_chemical_formula_sum 'Dy4 Zn2 S2'
_cell_length_a 4.105
_cell_length_b 3.875
_cell_length_c 11.412
_cell_angle_alpha 99.78
_cell_angle_beta 90.00
_cell_angle_gamma 90.00
_space_group_name_H-M_alt 'P 1'
_space_group_IT_number 1
loop_
_space_group_symop_operation_xyz
'x,y,z'
loop_
_atom_site_label
_atom_site_type_symbol
_atom_site_fract_x
_atom_site_fract_y
_atom_site_fract_z
Dy1 Dy 0.250 0.314 0.629
Dy2 Dy 0.750 0.927 0.854
Dy3 Dy 0.750 0.686 0.371
Zn1 Zn 0.750 0.538 0.076
Zn2 Zn 0.250 0.462 0.924
S1 S 0.250 0.194 0.388
Dy4 Dy 0.250 0.073 0.146
S2 S 0.750 0.806 0.612
```


Entry 6:
VASP calculation (PBE) on a relaxed structure of Dy3ZnS2.

## Properties
Symmetry ... Immm, No. 71
Energy ... -63.7 eV/cell
Formation energy from raw total energies ... -1.42 eV per atom

Cell and atoms, written as CIF:
```
data_Dy3ZnS2
_chemical_formula_sum 'Dy6 Zn2 S4'
_cell_length_a 5.639
_cell_length_b 7.016
_cell_length_c 7.748
_cell_angle_alpha 106.03
_cell_angle_beta 90.00
_cell_angle_gamma 113.70
_space_group_name_H-M_alt 'P 1'
_space_group_IT_number 1
loop_
_space_group_symop_operation_xyz
'x,y,z'
loop_
_atom_site_label
_atom_site_type_symbol
_atom_site_fract_x
_atom_site_fract_y
_atom_site_fract_z
S1 S 0.335 0.670 0.418
S2 S 0.335 0.670 0.918
Dy1 Dy 0.824 0.649 0.912
Dy2 Dy 0.176 0.351 0.088
Dy3 Dy 0.500 0.000 0.250
S3 S 0.665 0.330 0.582
Zn1 Zn 0.000 0.000 0.750
Zn2 Zn 0.000 0.000 0.250
Dy4 Dy 0.825 0.649 0.412
Dy5 Dy 0.500 0.000 0.750
S4 S 0.665 0.330 0.082
Dy6 Dy 0.175 0.351 0.588
```